No. 1
# LiReSe2

LiReSe2 at its PBEsol-relaxed geometry (meta-GGA SCAN, the Alexandria database).

a b c (Å): 3.227 3.227 6.397
angles (deg): 90.00 90.00 90.00
Fractional coordinates of all 4 atoms:
Re 0.500 0.500 0.740
Se 0.000 0.000 0.918
Se 0.500 0.500 0.354
Li 0.000 0.000 0.488

Values from the calculation:
Formation energy from raw total energies (eV per atom): -0.108
Fermi-level density of states (states/eV/f.u.): 1.84
Energy relative to the lowest polymorph listed for this composition (meV per atom): 0.0

***

No. 2
# MoRuS3

MoRuS3 at its PBEsol-relaxed geometry (meta-GGA SCAN, the Alexandria database).

a b c (Å): 4.582 4.582 4.582
angles (deg): 90.00 90.00 90.00
Each line ends with the local moment (μB).
Fractional coordinates of all 5 atoms:
S 0.000 0.000 0.500  0.08
S 0.000 0.500 0.000  0.08
S 0.500 0.000 0.000  0.08
Mo 0.000 0.000 0.000  -0.09
Ru 0.500 0.500 0.500  2.82

Values from the calculation:
Formation energy from raw total energies (eV per atom): 0.659
Fermi-level density of states (states/eV/f.u.): 3.10